Compound: Pr6Y2Er3Mg
Source: Alexandria via LeMat-Bulk
Functional: PBE
Structure: optimized geometry

Cell lengths 6.2601, 10.8501, 11.8347 Å; angles 90.00, 100.19, 90.00 degrees
Space group C2/m (No. 12)
Symmetry-distinct sites (fractional):
Pr (0.2490, 0.0000, 0.2486)
Pr (0.2488, 0.1660, 0.7504)
Y (0.0000, 0.3333, 0.5000)
Er (0.0000, 0.1667, 0.0000)
Er (0.0000, 0.5000, 0.0000)
Mg (0.0000, 0.0000, 0.5000)

**Energy relative to the elements**: 0.021 eV/atom
**Magnetic moment**: 0.0 μB/cell

Compound: PrYErMg
Source: Alexandria via LeMat-Bulk
Functional: PBE
Structure: optimized geometry

Cell lengths 7.8743, 7.8743, 7.8743 Å; angles 90.00, 90.00, 90.00 degrees
Space group F-43m (No. 216)
Symmetry-distinct sites (fractional):
Pr (0.0000, 0.0000, 0.0000)
Y (0.0000, 0.0000, 0.5000)
Er (0.2500, 0.2500, 0.2500)
Mg (0.2500, 0.2500, 0.7500)

**Energy relative to the elements**: 0.026 eV/atom
**Magnetic moment**: 0.0 μB/cell

Compound: Pr4YEr2Mg
Source: Alexandria via LeMat-Bulk
Functional: PBE
Structure: optimized geometry

Cell lengths 5.7969, 5.7969, 7.8121 Å; angles 90.00, 90.00, 90.00 degrees
Space group P4/mmm (No. 123)
Symmetry-distinct sites (fractional):
Pr (0.0000, 0.5000, 0.2390)
Y (0.0000, 0.0000, 0.5000)
Er (0.0000, 0.0000, 0.0000)
Er (0.5000, 0.5000, 0.5000)
Mg (0.5000, 0.5000, 0.0000)

**Energy relative to the elements**: 0.038 eV/atom
**Magnetic moment**: 0.0 μB/cell

Compound: PrErMgZr
Source: Alexandria via LeMat-Bulk
Functional: PBE
Structure: optimized geometry

Cell lengths 7.6406, 7.6406, 7.6406 Å; angles 90.00, 90.00, 90.00 degrees
Space group F-43m (No. 216)
Symmetry-distinct sites (fractional):
Pr (0.0000, 0.0000, 0.0000)
Er (0.0000, 0.0000, 0.5000)
Mg (0.2500, 0.2500, 0.2500)
Zr (0.2500, 0.2500, 0.7500)

**Energy relative to the elements**: 0.139 eV/atom
**Magnetic moment**: 7.2 μB/cell

Compound: ErMg2Pt3
Source: Alexandria via LeMat-Bulk
Functional: PBE
Structure: optimized geometry

Cell lengths 4.6391, 4.6391, 5.7306 Å; angles 90.00, 90.00, 120.00 degrees
Space group P-3m1 (No. 164)
Symmetry-distinct sites (fractional):
Er (0.0000, 0.0000, 0.0000)
Mg (0.3333, 0.6667, 0.6582)
Pt (0.0000, 0.0000, 0.5000)
Pt (0.3333, 0.6667, 0.1814)

**Energy relative to the elements**: -0.977 eV/atom
**Magnetic moment**: 0.0 μB/cell

Compound: ErMg2Pt3
Source: Alexandria via LeMat-Bulk
Functional: PBE
Structure: optimized geometry

Cell lengths 3.3794, 3.3794, 9.2760 Å; angles 90.00, 90.00, 90.00 degrees
Space group P4/mmm (No. 123)
Symmetry-distinct sites (fractional):
Er (0.0000, 0.0000, 0.0000)
Mg (0.0000, 0.0000, 0.3444)
Pt (0.5000, 0.5000, 0.1815)
Pt (0.5000, 0.5000, 0.5000)

**Energy relative to the elements**: -0.992 eV/atom
**Magnetic moment**: 0.0 μB/cell

Compound: ErMg4Pt5
Source: Alexandria via LeMat-Bulk
Functional: PBE
Structure: optimized geometry

Cell lengths 3.3524, 3.3524, 15.1225 Å; angles 90.00, 90.00, 90.00 degrees
Space group P4/mmm (No. 123)
Symmetry-distinct sites (fractional):
Er (0.0000, 0.0000, 0.0000)
Mg (0.0000, 0.0000, 0.2119)
Mg (0.0000, 0.0000, 0.4040)
Pt (0.5000, 0.5000, 0.1112)
Pt (0.5000, 0.5000, 0.3057)
Pt (0.5000, 0.5000, 0.5000)

**Energy relative to the elements**: -0.929 eV/atom
**Magnetic moment**: 0.0 μB/cell

Compound: ErMgPt
Source: Alexandria via LeMat-Bulk
Functional: PBE
Structure: optimized geometry

Cell lengths 4.5578, 4.5578, 3.5494 Å; angles 90.00, 90.00, 120.00 degrees
Space group P3m1 (No. 156)
Symmetry-distinct sites (fractional):
Er (0.0000, 0.0000, 0.0000)
Mg (0.6667, 0.3333, 0.4997)
Pt (0.3333, 0.6667, 0.5012)

**Energy relative to the elements**: -0.718 eV/atom
**Magnetic moment**: 0.0 μB/cell